Entry 1:
A geometry-optimized In3OsAu structure, computed with GGA-PBE.

Lattice parameters (Å, degrees): 5.155 5.155 5.155 90.00 90.00 90.00
Atoms (fractional coordinates):
Os (0.000, 0.000, 0.000)
Au (0.500, 0.500, 0.500)
In (0.000, 0.500, 0.000)
In (0.000, 0.000, 0.500)
In (0.500, 0.000, 0.000)

Output
E_tot	-20.78	eV for the cell shown
relative energy among the computed polymorphs	0	meV per atom
M_tot	0.00	μB per formula unit

---

Entry 2:
A geometry-optimized InOsAu structure, computed with GGA-PBE.

Lattice parameters (Å, degrees): 4.471 4.471 4.471 60.00 60.00 60.00
Site moments in Bohr magnetons follow the coordinates.
Atoms (fractional coordinates):
Au (0.000, 0.000, 0.000)  0.10
In (0.500, 0.500, 0.500)  -0.01
Os (0.750, 0.750, 0.750)  0.83

Output
E_tot	-15.00	eV for the cell shown
relative energy among the computed polymorphs	200	meV per atom
M_tot	0.99	μB per formula unit

---

Entry 3:
A geometry-optimized InReOs2Au structure, computed with GGA-PBE.

Lattice parameters (Å, degrees): 4.704 5.146 4.704 90.00 90.00 90.00
Atoms (fractional coordinates):
Os (0.000, 0.000, 0.500)
Os (0.500, 0.000, 0.000)
In (0.500, 0.500, 0.500)
Au (0.000, 0.500, 0.000)
Re (0.000, 0.000, 0.000)

Output
E_tot	-32.29	eV for the cell shown
M_tot	0.00	μB per formula unit

---

Entry 4:
A geometry-optimized InOsRh2Au structure, computed with GGA-PBE.

Lattice parameters (Å, degrees): 4.822 4.822 4.893 90.00 90.00 90.00
Site moments in Bohr magnetons follow the coordinates.
Atoms (fractional coordinates):
Os (0.500, 0.500, 0.500)  2.82
Au (0.000, 0.000, 0.500)  0.02
Rh (0.000, 0.500, 0.000)  0.48
Rh (0.500, 0.000, 0.000)  0.48
In (0.000, 0.000, 0.000)  -0.02

Output
E_tot	-22.16	eV for the cell shown
M_tot	3.99	μB per formula unit

---

Entry 5:
A geometry-optimized Th2InOsAu structure, computed with GGA-PBE.

Lattice parameters (Å, degrees): 4.192 8.178 7.887 110.53 90.00 90.00
Atoms (fractional coordinates):
Th (0.750, 0.890, 0.647)
Th (0.750, 0.728, 0.031)
Th (0.250, 0.110, 0.353)
Th (0.250, 0.272, 0.969)
In (0.250, 0.536, 0.652)
In (0.750, 0.464, 0.348)
Os (0.250, 0.875, 0.884)
Os (0.750, 0.125, 0.116)
Au (0.250, 0.706, 0.312)
Au (0.750, 0.294, 0.688)

Output
E_tot	-69.08	eV for the cell shown
M_tot	0.00	μB per formula unit

---

Entry 6:
A geometry-optimized Tl2InOsAu structure, computed with GGA-PBE.

Lattice parameters (Å, degrees): 5.277 5.217 5.277 90.00 90.00 90.00
Atoms (fractional coordinates):
Os (0.000, 0.000, 0.000)
Tl (0.000, 0.000, 0.500)
Tl (0.500, 0.000, 0.000)
Au (0.000, 0.500, 0.000)
In (0.500, 0.500, 0.500)

Output
E_tot	-18.94	eV for the cell shown
M_tot	0.00	μB per formula unit

---

Entry 7:
A geometry-optimized InPAu3 structure, computed with GGA-PBE.

Lattice parameters (Å, degrees): 4.851 4.851 4.851 90.00 90.00 90.00
Atoms (fractional coordinates):
P (0.000, 0.000, 0.000)
Au (0.000, 0.500, 0.000)
Au (0.000, 0.000, 0.500)
Au (0.500, 0.000, 0.000)
In (0.500, 0.500, 0.500)

Output
E_tot	-17.43	eV for the cell shown
relative energy among the computed polymorphs	0	meV per atom
M_tot	0.00	μB per formula unit

---

Entry 8:
A geometry-optimized In6PAu4 structure, computed with GGA-PBE.

Lattice parameters (Å, degrees): 8.842 8.842 3.796 90.00 90.00 120.03
Atoms (fractional coordinates):
Au (0.333, 0.667, 0.000)
Au (0.784, 0.216, 0.500)
Au (0.784, 0.567, 0.500)
Au (0.433, 0.216, 0.500)
In (0.135, 0.865, 0.500)
In (0.135, 0.270, 0.500)
In (0.730, 0.865, 0.500)
In (0.512, 0.488, 0.000)
In (0.511, 0.023, 0.000)
In (0.977, 0.489, 0.000)
P (0.000, 0.000, 0.000)

Output
E_tot	-35.72	eV for the cell shown
M_tot	0.00	μB per formula unit